Below is RbCdF2 after structural relaxation, with properties calculated at the PBE level.

The structure in extended XYZ format:
```
4
Lattice="1.159 4.025 6.781 3.492 0.933 7.104 4.647 4.034 5.066" Properties=species:S:1:pos:R:3 pbc="T T T"
F 8.411 8.135 17.145
F 0.886 0.857 1.807
Rb 4.649 4.496 9.476
Cd 0.000 0.000 0.000
```

Computed properties:
The calculation puts the total moment at 0.00 μB/cell. The value obtained for the excess energy over the best structure of this formula in the dataset is 11.1 meV per atom. Its symmetry is No. 166.